Here is a relaxed CoCuS4 crystal from Alexandria. Energies are from PBE.

Unit cell a=5.5947 b=5.5938 c=5.7423 alpha=88.89 beta=90.00 gamma=90.00
Sites, in units of the cell vectors:
S 0.6176 0.3813 0.5918
S 0.1176 0.1187 0.4082
S 0.4025 0.9000 0.8839
S 0.8824 0.8813 0.5918
S 0.0975 0.4000 0.8839
S 0.5975 0.1000 0.1161
S 0.3824 0.6187 0.4082
S 0.9025 0.6000 0.1161
Co 0.5000 0.0000 0.5000
Co 0.0000 0.5000 0.5000
Cu 0.5000 0.5000 0.0000
Cu 0.0000 0.0000 0.0000

## Properties
Symmetry   P2_1/c (14)
Polymorph energy (0 for the lowest one)   0.0 kJ/mol of atoms
VASP energy   -4.8435 eV/atom
E_form (uncorrected)   -0.2249 eV per atom

Here is a relaxed Ta2PtCl crystal from Alexandria. Energies are from PBE.

Unit cell a=2.9036 b=3.9645 c=6.0285 alpha=90.00 beta=90.00 gamma=90.00
Sites, in units of the cell vectors:
Cl 0.0000 0.0000 0.4220
Pt 0.5000 0.5000 0.7851
Ta 0.5000 0.5000 0.3072
Ta 0.0000 0.0000 0.9857

## Properties
Symmetry   Pmm2 (25)
Polymorph energy (0 for the lowest one)   29.1 kJ/mol of atoms
VASP energy   -7.8823 eV/atom
E_form (uncorrected)   0.0158 eV per atom

Here is a relaxed Cr2SbRh crystal from Alexandria. Energies are from PBE.

Unit cell a=4.0470 b=2.8890 c=6.0294 alpha=61.36 beta=90.00 gamma=90.00
Sites, in units of the cell vectors:
Rh 0.5000 0.2500 0.2500
Cr 0.0000 0.5576 0.4414
Cr 0.0000 0.9424 0.0586
Sb 0.5000 0.7500 0.7500

## Properties
Symmetry   Pmmm (47)
VASP energy   -7.4330 eV/atom
E_form (uncorrected)   0.2471 eV per atom

Here is a relaxed Sr2YMo crystal from Alexandria. Energies are from PBE.

Unit cell a=3.8389 b=3.8394 c=10.0092 alpha=67.69 beta=90.00 gamma=90.00
Sites, in units of the cell vectors:
Mo 0.5000 0.8055 0.6949
Y 0.0000 0.4266 0.5730
Sr 0.0000 0.0674 0.9339
Sr 0.5000 0.2005 0.2983

## Properties
Symmetry   Pm (6)
Polymorph energy (0 for the lowest one)   0.0 kJ/mol of atoms
Calculated formation energy   0.52 eV per atom
VASP energy   -4.6463 eV/atom

Here is a relaxed CuNi2W crystal from Alexandria. Energies are from PBE.

Unit cell a=8.5212 b=8.5212 c=8.5212 alpha=17.91 beta=17.91 gamma=17.91
Sites, in units of the cell vectors:
W 0.2500 0.2500 0.2500
Ni 0.4975 0.4975 0.4975
Ni 0.0025 0.0025 0.0025
Cu 0.7500 0.7500 0.7500

## Properties
Symmetry   R-3m (166)
Polymorph energy (0 for the lowest one)   12.5 kJ/mol of atoms
Calculated formation energy   0.14 eV per atom
VASP energy   -7.0115 eV/atom

Here is a relaxed Dy2ScAu3 crystal from Alexandria. Energies are from PBE.

Unit cell a=3.5111 b=3.5111 c=10.7326 alpha=90.00 beta=90.00 gamma=90.00
Sites, in units of the cell vectors:
Dy 0.5000 0.5000 0.8276
Dy 0.5000 0.5000 0.1724
Au 0.0000 0.0000 0.0000
Au 0.0000 0.0000 0.3496
Au 0.0000 0.0000 0.6504
Sc 0.5000 0.5000 0.5000

## Properties
Symmetry   P4/mmm (123)
Polymorph energy (0 for the lowest one)   0.0 kJ/mol of atoms
Calculated formation energy   -0.84 eV per atom
VASP energy   -5.0649 eV/atom